Compound: La2AgI2N2
Source: Alexandria via LeMat-Bulk
Functional: PBE
Structure: relaxed

Cell and atoms, written as POSCAR:
```
La2AgI2N2
1.0
-0.6185 3.0952 2.7060
-2.8182 -0.7691 -2.9582
-6.3104 -8.4338 8.2045
N La I Ag
2 2 2 1
Cartesian
-4.9569 -3.0112 5.5052 N
-4.7902 -3.0966 2.4471 N
-3.8161 -1.4866 4.0220 La
-5.9310 -4.6212 3.9303 La
-5.0630 -6.7666 6.5827 I
-1.2474 -1.6672 1.6219 I
0.0000 0.0000 0.0000 Ag
```

Results
- DOS(E_F): 4.3 states/eV/cell
- Total DFT energy (no corrections): -0.4066 Ry per atom
- Energy relative to the elements, uncorrected: -6.3 eV per formula unit
- Theoretical density: 5546 kg/m3

***

Compound: LaAgI2N
Source: Alexandria via LeMat-Bulk
Functional: PBE
Structure: relaxed

Cell and atoms, written as POSCAR:
```
LaAgI2N
1.0
-2.8825 5.6402 -1.3975
-3.8493 -0.6848 5.1756
2.7934 2.0082 2.3433
I La N Ag
2 1 1 1
Cartesian
-1.4412 2.8201 -0.6988 I
-1.9247 -0.3424 2.5878 I
0.0000 0.0000 0.0000 La
1.3967 1.0041 1.1717 N
-1.9692 3.4818 3.0607 Ag
```

Results
- DOS(E_F): 2.6 states/eV/cell
- Total DFT energy (no corrections): -0.2961 Ry per atom
- Energy relative to the elements, uncorrected: -0.9 eV per formula unit
- Distance to the lowest polymorph of the same formula: 0.000 eV/atom
- Theoretical density: 4879 kg/m3

***

Compound: LaAgIN2
Source: Alexandria via LeMat-Bulk
Functional: PBE
Structure: relaxed

Cell and atoms, written as POSCAR:
```
LaAgIN2
1.0
4.3366 0.0000 0.0000
0.0000 4.3366 0.0000
0.0000 0.0000 7.0320
Ag La I N
1 1 1 2
Cartesian
2.1683 2.1683 3.5160 Ag
0.0000 0.0000 0.0000 La
0.0000 0.0000 3.5160 I
2.1683 0.0000 0.0000 N
0.0000 2.1683 0.0000 N
```

Results
- DOS(E_F): 3.3 states/eV/cell
- Total DFT energy (no corrections): -0.3385 Ry per atom
- Energy relative to the elements, uncorrected: 3.0 eV per formula unit
- Distance to the lowest polymorph of the same formula: 0.000 eV/atom
- Theoretical density: 5044 kg/m3

***

Compound: LaAgIN2
Source: Alexandria via LeMat-Bulk
Functional: PBE
Structure: relaxed

Cell and atoms, written as POSCAR:
```
LaAgIN2
1.0
4.4684 0.0000 0.0000
0.0000 4.4684 0.0000
0.0000 0.0000 5.1913
La N I Ag
1 2 1 1
Cartesian
2.2342 2.2342 2.5957 La
0.0000 2.2342 0.0000 N
2.2342 0.0000 0.0000 N
0.0000 0.0000 2.5957 I
0.0000 0.0000 0.0000 Ag
```

Results
- DOS(E_F): 2.8 states/eV/cell
- Total DFT energy (no corrections): -0.3104 Ry per atom
- Energy relative to the elements, uncorrected: 4.9 eV per formula unit
- Distance to the lowest polymorph of the same formula: 0.383 eV/atom
- Theoretical density: 6435 kg/m3

***

Compound: LaAgI2N
Source: Alexandria via LeMat-Bulk
Functional: PBE
Structure: relaxed

Cell and atoms, written as POSCAR:
```
LaAgI2N
1.0
5.9811 0.0000 0.0000
0.0000 5.9811 0.0000
0.0000 0.0000 4.0589
I Ag La N
2 1 1 1
Cartesian
2.9906 0.0000 0.0000 I
0.0000 2.9906 0.0000 I
0.0000 0.0000 0.0000 Ag
2.9906 2.9906 2.0295 La
0.0000 0.0000 2.0295 N
```

Results
- DOS(E_F): 4.5 states/eV/cell
- Total DFT energy (no corrections): -0.2647 Ry per atom
- Energy relative to the elements, uncorrected: 1.2 eV per formula unit
- Distance to the lowest polymorph of the same formula: 0.427 eV/atom
- Theoretical density: 5885 kg/m3

***

Compound: NaLaAg2I6
Source: Alexandria via LeMat-Bulk
Functional: PBE
Structure: relaxed

Cell and atoms, written as POSCAR:
```
NaLaAg2I6
1.0
7.9751 0.0003 -0.0033
-3.9869 6.9048 -0.0008
-3.9869 -2.3022 7.6126
I Na Ag La
6 1 2 1
Cartesian
-2.5621 4.5175 5.5330 I
2.8394 4.6004 1.7675 I
-2.7184 0.0578 5.5362 I
1.4735 2.4225 5.5310 I
-1.3552 2.2433 1.7745 I
2.6885 0.1476 1.7696 I
0.0614 4.6333 7.4611 Na
0.0629 4.6317 1.9269 Ag
0.0587 0.0314 5.3895 Ag
4.0477 2.3314 3.6532 La
```

Results
- DOS(E_F): 0.0 states/eV/cell
- Total DFT energy (no corrections): -0.2239 Ry per atom
- Energy relative to the elements, uncorrected: -9.2 eV per formula unit
- Theoretical density: 4513 kg/m3